1.
DFT (PBE-GGA) results for crystalline CaIrBr at its relaxed geometry.

Properties
The calculation puts the density of states at the Fermi level at 0.00 states/eV per atom. The calculation puts the magnetization at 0.0 μB per formula unit. Its energy relative to the elements, uncorrected is -4.85 kcal/mol of atoms. As for the crystal system: orthorhombic.

Cell: 5.853 4.638 10.731 Å, 90.00 90.00 90.00°
Sites, in units of the cell vectors:
Ca: 0.286 0.750 0.623
Ca: 0.714 0.250 0.377
Ca: 0.214 0.250 0.123
Ca: 0.786 0.750 0.877
Ir: 0.205 0.250 0.402
Ir: 0.705 0.250 0.098
Ir: 0.795 0.750 0.598
Ir: 0.295 0.750 0.902
Br: 0.284 0.750 0.347
Br: 0.216 0.250 0.847
Br: 0.716 0.250 0.653
Br: 0.784 0.750 0.153

2.
DFT (PBE-GGA) results for crystalline Pm2Co3TcGe4 at its relaxed geometry.

Properties
The calculation puts the density of states at the Fermi level at 1.15 states/eV per atom. The calculation puts the magnetization at 0.2 μB per formula unit. The value obtained for the calculated formation energy is -0.5052 eV/atom. As for the crystal system: tetragonal.

Cell: 4.168 4.168 9.779 Å, 90.00 90.00 90.00°
Sites, in units of the cell vectors:
Pm: 0.500 0.000 0.246
Pm: 0.000 0.500 0.754
Co: 0.500 0.000 0.880
Co: 0.000 0.500 0.120
Co: 0.000 0.000 0.500
Tc: 0.500 0.500 0.500
Ge: 0.500 0.500 0.000
Ge: 0.000 0.500 0.365
Ge: 0.000 0.000 0.000
Ge: 0.500 0.000 0.635

3.
DFT (PBE-GGA) results for crystalline La3HIr at its relaxed geometry.

Properties
The calculation puts the density of states at the Fermi level at 1.74 states/eV per atom. The calculation puts the magnetization at 0.0 μB per formula unit. For the energy, the calculation gives -5.522 eV per atom. As for the crystal system: cubic.

Cell: 4.874 4.874 4.874 Å, 90.00 90.00 90.00°
Sites, in units of the cell vectors:
La: 0.000 0.500 0.000
La: 0.500 0.000 0.000
La: 0.000 0.000 0.500
H: 0.000 0.000 0.000
Ir: 0.500 0.500 0.500

4.
DFT (PBE-GGA) results for crystalline Pm3Co5N12 at its relaxed geometry.

Properties
The calculation puts the density of states at the Fermi level at 0.53 states/eV per atom. The calculation puts the magnetization at 0.0 μB per formula unit. Its energy relative to the elements, uncorrected is 2.36 kcal/mol of atoms. As for the crystal system: cubic.

Cell: 10.608 10.608 10.608 Å, 109.47 109.47 109.47°
Sites, in units of the cell vectors:
N: 0.088 0.902 0.392
N: 0.990 0.392 0.304
N: 0.588 0.892 0.402
N: 0.392 0.990 0.804
N: 0.010 0.608 0.696
N: 0.098 0.912 0.108
N: 0.804 0.490 0.392
N: 0.490 0.804 0.892
N: 0.990 0.598 0.186
N: 0.186 0.088 0.696
N: 0.902 0.088 0.892
N: 0.696 0.108 0.010
N: 0.608 0.598 0.912
N: 0.314 0.510 0.402
N: 0.412 0.304 0.314
N: 0.196 0.510 0.608
N: 0.686 0.196 0.588
N: 0.108 0.696 0.510
N: 0.892 0.304 0.490
N: 0.598 0.990 0.686
N: 0.598 0.608 0.412
N: 0.186 0.098 0.990
N: 0.392 0.402 0.088
N: 0.402 0.392 0.588
N: 0.010 0.402 0.814
N: 0.098 0.186 0.490
N: 0.608 0.010 0.196
N: 0.088 0.186 0.196
N: 0.696 0.588 0.186
N: 0.912 0.814 0.804
N: 0.510 0.314 0.902
N: 0.804 0.314 0.912
N: 0.304 0.892 0.990
N: 0.402 0.010 0.314
N: 0.196 0.686 0.088
N: 0.814 0.912 0.304
N: 0.510 0.196 0.108
N: 0.814 0.902 0.010
N: 0.686 0.490 0.598
N: 0.108 0.412 0.098
N: 0.412 0.108 0.598
N: 0.490 0.686 0.098
N: 0.912 0.098 0.608
N: 0.314 0.804 0.412
N: 0.902 0.814 0.510
N: 0.304 0.412 0.814
N: 0.588 0.696 0.686
N: 0.892 0.588 0.902
Pm: 0.375 0.750 0.625
Pm: 0.875 0.125 0.250
Pm: 0.125 0.250 0.875
Pm: 0.875 0.750 0.125
Pm: 0.375 0.625 0.250
Pm: 0.625 0.375 0.750
Pm: 0.125 0.875 0.750
Pm: 0.625 0.250 0.375
Pm: 0.250 0.125 0.375
Pm: 0.250 0.625 0.875
Pm: 0.750 0.375 0.125
Pm: 0.750 0.875 0.625
Co: 0.000 0.500 0.000
Co: 0.625 0.875 0.250
Co: 0.750 0.125 0.875
Co: 0.500 0.000 0.000
Co: 0.000 0.000 0.500
Co: 0.625 0.750 0.875
Co: 0.500 0.500 0.000
Co: 0.125 0.750 0.375
Co: 0.250 0.375 0.625
Co: 0.250 0.875 0.125
Co: 0.750 0.625 0.375
Co: 0.500 0.000 0.500
Co: 0.375 0.250 0.125
Co: 0.125 0.375 0.250
Co: 0.500 0.500 0.500
Co: 0.875 0.250 0.625
Co: 0.000 0.500 0.500
Co: 0.875 0.625 0.750
Co: 0.375 0.125 0.750
Co: 0.000 0.000 0.000

5.
DFT (PBE-GGA) results for crystalline SmCd2Hg2 at its relaxed geometry.

Properties
The calculation puts the density of states at the Fermi level at 0.45 states/eV per atom. The calculation puts the magnetization at 0.0 μB per formula unit. The value obtained for the calculated formation energy is -0.2842 eV/atom. As for the crystal system: trigonal.

Cell: 4.919 4.919 6.517 Å, 67.83 67.83 60.00°
Sites, in units of the cell vectors:
Cd: 0.797 0.297 0.609
Cd: 0.203 0.703 0.391
Hg: 0.591 0.091 0.228
Hg: 0.409 0.909 0.772
Sm: 0.000 0.500 0.000

6.
DFT (PBE-GGA) results for crystalline V3Co2Ni3 at its relaxed geometry.

Properties
The calculation puts the density of states at the Fermi level at 1.25 states/eV per atom. The calculation puts the magnetization at 0.0 μB per formula unit. The value obtained for the calculated formation energy is -0.0980 eV/atom. As for the crystal system: trigonal.

Cell: 4.537 4.537 4.537 Å, 90.49 90.49 89.51°
Sites, in units of the cell vectors:
Ni: 0.254 0.746 0.500
Ni: 0.500 0.254 0.254
Ni: 0.746 0.500 0.746
Co: 0.751 0.751 0.249
Co: 0.249 0.249 0.751
V: 0.741 0.000 0.741
V: 0.259 0.741 0.000
V: 0.000 0.259 0.259

7.
DFT (PBE-GGA) results for crystalline FeHg2Ru at its relaxed geometry.

Properties
The calculation puts the density of states at the Fermi level at 1.08 states/eV per atom. The calculation puts the magnetization at 3.3 μB per formula unit. The value obtained for the calculated formation energy is 0.5903 eV/atom. As for the crystal system: trigonal.

Cell: 9.339 9.339 9.339 Å, 18.14 18.14 18.14°
Sites, in units of the cell vectors:
Fe: 0.750 0.750 0.750
Hg: 0.001 0.001 0.001
Hg: 0.499 0.499 0.499
Ru: 0.250 0.250 0.250

8.
DFT (PBE-GGA) results for crystalline LiMgGa2 at its relaxed geometry.

Properties
The calculation puts the density of states at the Fermi level at 0.32 states/eV per atom. The calculation puts the magnetization at 0.0 μB per formula unit. The value obtained for the calculated formation energy is -0.2256 eV/atom. As for the crystal system: monoclinic.

Cell: 4.099 4.099 5.060 Å, 113.98 113.98 89.52°
Sites, in units of the cell vectors:
Ga: 0.249 0.251 0.500
Ga: 0.751 0.749 0.500
Mg: 0.500 0.000 0.000
Li: 0.000 0.500 0.000